(1)
NdTh2MnN5: optimized geometry, PBE.

Lattice parameters (Å, degrees): 6.766 6.766 7.407 117.17 117.17 90.00
Last column: magnetic moment on the atom in μB.
Positions (direct):
Nd 0.250 0.250 0.500  0.01
Nd 0.750 0.750 0.500  0.01
Th 0.176 0.324 0.000  0.07
Th 0.676 0.176 0.000  0.07
Th 0.324 0.824 0.000  0.07
Th 0.824 0.676 0.000  0.07
Mn 0.250 0.750 0.500  1.73
Mn 0.750 0.250 0.500  1.73
N 0.002 0.502 0.288  0.01
N 0.714 0.214 0.712  0.01
N 0.998 0.498 0.712  0.01
N 0.214 0.998 0.712  0.01
N 0.498 0.714 0.712  0.01
N 0.786 0.002 0.288  0.01
N 0.502 0.286 0.288  0.01
N 0.286 0.786 0.288  0.01
N 0.500 0.500 0.000  0.01
N 0.000 0.000 0.000  0.01

## Properties
The total DFT energy (no corrections) is -162.71 eV for the cell shown. The uncorrected formation energy comes out at -1217 meV per atom.

(2)
DyV2Cr: optimized geometry, PBE.

Lattice parameters (Å, degrees): 4.080 4.080 5.643 68.81 68.81 60.00
Positions (direct):
Cr 0.500 0.500 0.500
V 0.797 0.797 0.610
V 0.203 0.203 0.390
Dy 0.000 0.000 0.000

## Properties
The total DFT energy (no corrections) is -30.91 eV for the cell shown. As for the formation energy: 0.39 eV/atom.

no.,total magnetization (μB/f.u.)
1,2.2
2,0.0